1.
Material: Cu5TePd8
Method: DFT, PBE
State: relaxed

Lattice parameters (Å, degrees): 6.556 6.556 6.556 110.22 110.22 107.98
Positions (direct):
Cu (0.000, 0.000, 0.000)
Cu (0.291, 0.623, 0.093)
Cu (0.377, 0.470, 0.668)
Cu (0.530, 0.198, 0.907)
Cu (0.802, 0.709, 0.332)
Te (0.750, 0.250, 0.500)
Pd (0.020, 0.417, 0.263)
Pd (0.090, 0.164, 0.731)
Pd (0.154, 0.757, 0.737)
Pd (0.243, 0.980, 0.397)
Pd (0.433, 0.359, 0.269)
Pd (0.583, 0.846, 0.603)
Pd (0.641, 0.910, 0.075)
Pd (0.836, 0.567, 0.925)

Computed properties:
**ρ**: 9.93 Mg/m³
**Electronic total energy**: -4.672 eV per atom
**Spin magnetization**: 0.000 μB/atom
**Space group**: I-4 (82)


2.
Material: Ce3Pm3Ge4
Method: DFT, PBE
State: relaxed

Lattice parameters (Å, degrees): 4.205 7.843 7.843 89.30 90.00 90.00
Positions (direct):
Ce (0.000, 0.000, 0.000)
Ce (0.500, 0.322, 0.828)
Ce (0.500, 0.828, 0.322)
Pm (0.000, 0.156, 0.497)
Pm (0.000, 0.497, 0.156)
Pm (0.000, 0.655, 0.655)
Ge (0.500, 0.199, 0.199)
Ge (0.500, 0.454, 0.454)
Ge (0.500, 0.703, 0.951)
Ge (0.500, 0.951, 0.703)

Computed properties:
**ρ**: 7.36 Mg/m³
**Spin magnetization**: 0.189 μB/atom
**Space group**: Amm2 (38)
**DFT formation energy**: -674.6 meV per atom


3.
Material: NaFe2Si2
Method: DFT, PBE
State: relaxed

Lattice parameters (Å, degrees): 5.834 5.834 5.834 142.25 142.25 54.46
Positions (direct):
Na (0.000, 0.000, 0.000)
Fe (0.250, 0.750, 0.500)
Fe (0.750, 0.250, 0.500)
Si (0.380, 0.380, 0.000)
Si (0.620, 0.620, 0.000)

Computed properties:
**ρ**: 4.29 Mg/m³
**Spin magnetization**: 0.513 μB/atom
**Space group**: I4/mmm (139)
**Relative energy among the computed polymorphs**: 0.043 eV/atom


4.
Material: CeEuZn2
Method: DFT, PBE
State: relaxed

Lattice parameters (Å, degrees): 5.216 5.216 5.216 60.00 60.00 60.00
Positions (direct):
Ce (0.000, 0.000, 0.000)
Eu (0.500, 0.500, 0.500)
Zn (0.250, 0.250, 0.250)
Zn (0.750, 0.750, 0.750)

Computed properties:
**ρ**: 7.00 Mg/m³
**Spin magnetization**: 1.573 μB/atom
**Space group**: Fm-3m (225)
**DFT formation energy**: -190.9 meV per atom


5.
Material: SrZrTa2
Method: DFT, PBE
State: relaxed

Lattice parameters (Å, degrees): 4.947 4.947 6.956 92.69 92.69 35.94
Positions (direct):
Sr (0.000, 0.000, 0.000)
Zr (0.764, 0.764, 0.329)
Ta (0.242, 0.242, 0.695)
Ta (0.504, 0.504, 0.529)

Computed properties:
**ρ**: 9.00 Mg/m³
**Spin magnetization**: 0.000 μB/atom
**Space group**: Cm (8)
**Relative energy among the computed polymorphs**: 0.202 eV/atom
**DFT formation energy**: 614.8 meV per atom


6.
Material: PrSmMg
Method: DFT, PBE
State: relaxed

Lattice parameters (Å, degrees): 7.167 7.167 5.323 90.00 90.00 136.43
Positions (direct):
Pr (0.092, 0.908, 0.750)
Pr (0.908, 0.092, 0.250)
Sm (0.407, 0.593, 0.750)
Sm (0.593, 0.407, 0.250)
Mg (0.250, 0.750, 0.250)
Mg (0.750, 0.250, 0.750)

Computed properties:
**ρ**: 5.56 Mg/m³
**Spin magnetization**: 0.000 μB/atom
**Space group**: Cmcm (63)
**Relative energy among the computed polymorphs**: 0.000 eV/atom
**DFT formation energy**: -55.1 meV per atom


7.
Material: Cd12As5Au3
Method: DFT, PBE
State: relaxed

Lattice parameters (Å, degrees): 13.929 13.929 13.929 109.47 109.47 109.47
Positions (direct):
Cd (0.057, 0.228, 0.135)
Cd (0.057, 0.329, 0.921)
Cd (0.079, 0.635, 0.407)
Cd (0.079, 0.943, 0.671)
Cd (0.093, 0.728, 0.671)
Cd (0.093, 0.865, 0.421)
Cd (0.135, 0.057, 0.228)
Cd (0.135, 0.579, 0.907)
Cd (0.171, 0.228, 0.593)
Cd (0.171, 0.443, 0.579)
Cd (0.228, 0.135, 0.057)
Cd (0.228, 0.593, 0.171)
Cd (0.272, 0.329, 0.907)
Cd (0.272, 0.443, 0.365)
Cd (0.329, 0.907, 0.272)
Cd (0.329, 0.921, 0.057)
Cd (0.365, 0.272, 0.443)
Cd (0.365, 0.593, 0.921)
Cd (0.407, 0.079, 0.635)
Cd (0.407, 0.829, 0.772)
Cd (0.421, 0.093, 0.865)
Cd (0.421, 0.829, 0.557)
Cd (0.443, 0.365, 0.272)
Cd (0.443, 0.579, 0.171)
Cd (0.557, 0.421, 0.829)
Cd (0.557, 0.635, 0.728)
Cd (0.579, 0.171, 0.443)
Cd (0.579, 0.907, 0.135)
Cd (0.593, 0.171, 0.228)
Cd (0.593, 0.921, 0.365)
Cd (0.635, 0.407, 0.079)
Cd (0.635, 0.728, 0.557)
Cd (0.671, 0.079, 0.943)
Cd (0.671, 0.093, 0.728)
Cd (0.728, 0.557, 0.635)
Cd (0.728, 0.671, 0.093)
Cd (0.772, 0.407, 0.829)
Cd (0.772, 0.865, 0.943)
Cd (0.829, 0.557, 0.421)
Cd (0.829, 0.772, 0.407)
Cd (0.865, 0.421, 0.093)
Cd (0.865, 0.943, 0.772)
Cd (0.907, 0.135, 0.579)
Cd (0.907, 0.272, 0.329)
Cd (0.921, 0.057, 0.329)
Cd (0.921, 0.365, 0.593)
Cd (0.943, 0.671, 0.079)
Cd (0.943, 0.772, 0.865)
As (0.000, 0.000, 0.000)
As (0.000, 0.000, 0.500)
As (0.000, 0.500, 0.000)
As (0.000, 0.500, 0.500)
As (0.125, 0.750, 0.875)
As (0.125, 0.875, 0.250)
As (0.250, 0.125, 0.875)
As (0.250, 0.625, 0.375)
As (0.375, 0.250, 0.625)
As (0.375, 0.625, 0.750)
As (0.500, 0.000, 0.000)
As (0.500, 0.000, 0.500)
As (0.500, 0.500, 0.000)
As (0.500, 0.500, 0.500)
As (0.625, 0.375, 0.250)
As (0.625, 0.750, 0.375)
As (0.750, 0.375, 0.625)
As (0.750, 0.875, 0.125)
As (0.875, 0.125, 0.750)
As (0.875, 0.250, 0.125)
Au (0.125, 0.250, 0.375)
Au (0.125, 0.375, 0.750)
Au (0.250, 0.375, 0.125)
Au (0.250, 0.875, 0.625)
Au (0.375, 0.125, 0.250)
Au (0.375, 0.750, 0.125)
Au (0.625, 0.250, 0.875)
Au (0.625, 0.875, 0.750)
Au (0.750, 0.125, 0.375)
Au (0.750, 0.625, 0.875)
Au (0.875, 0.625, 0.250)
Au (0.875, 0.750, 0.625)

Computed properties:
**ρ**: 7.39 Mg/m³
**Spin magnetization**: 0.000 μB/atom
**Space group**: Ia-3d (230)
**DFT formation energy**: -19.1 meV per atom


8.
Material: ThMgNi2As2
Method: DFT, PBE
State: relaxed

Lattice parameters (Å, degrees): 4.124 4.124 7.115 90.00 90.00 120.00
Positions (direct):
Th (0.000, 0.000, 0.000)
Mg (0.000, 0.000, 0.500)
Ni (0.333, 0.667, 0.705)
Ni (0.667, 0.333, 0.295)
As (0.333, 0.667, 0.266)
As (0.667, 0.333, 0.734)

Computed properties:
**ρ**: 8.30 Mg/m³
**Spin magnetization**: 0.000 μB/atom
**Space group**: P-3m1 (164)
**DFT formation energy**: -777.6 meV per atom


9.
Material: Ni3C
Method: DFT, PBE
State: relaxed

Lattice parameters (Å, degrees): 4.067 4.067 4.067 130.75 130.75 72.21
Positions (direct):
Ni (0.000, 0.000, 0.000)
Ni (0.250, 0.750, 0.500)
Ni (0.750, 0.250, 0.500)
C (0.500, 0.500, 0.000)

Computed properties:
**ρ**: 8.27 Mg/m³
**Spin magnetization**: 0.139 μB/atom
**Space group**: I4/mmm (139)
**Relative energy among the computed polymorphs**: 0.851 eV/atom
**DFT formation energy**: 912.4 meV per atom


10.
Material: TaMo3
Method: DFT, PBE
State: relaxed

Lattice parameters (Å, degrees): 5.315 4.527 5.516 90.00 99.91 90.00
Positions (direct):
Ta (0.244, 0.000, 0.373)
Ta (0.756, 0.000, 0.627)
Mo (0.000, 0.500, 0.000)
Mo (0.000, 0.500, 0.500)
Mo (0.254, 0.000, 0.877)
Mo (0.496, 0.500, 0.749)
Mo (0.504, 0.500, 0.251)
Mo (0.746, 0.000, 0.123)

Computed properties:
**ρ**: 11.91 Mg/m³
**Spin magnetization**: 0.000 μB/atom
**Space group**: P2/m (10)
**DFT formation energy**: -130.7 meV per atom


11.
Material: PmInN2
Method: DFT, PBE
State: relaxed

Lattice parameters (Å, degrees): 5.837 5.837 5.837 35.28 35.28 35.28
Positions (direct):
Pm (0.000, 0.000, 0.000)
In (0.500, 0.500, 0.500)
N (0.247, 0.247, 0.247)
N (0.753, 0.753, 0.753)

Computed properties:
**ρ**: 8.06 Mg/m³
**Electronic total energy**: -6.598 eV per atom
**Spin magnetization**: 0.000 μB/atom
**Space group**: R-3m (166)


12.
Material: SmAg2Au
Method: DFT, PBE
State: relaxed

Lattice parameters (Å, degrees): 4.936 4.936 4.936 60.00 60.00 60.00
Positions (direct):
Sm (0.000, 0.000, 0.000)
Ag (0.250, 0.250, 0.250)
Ag (0.750, 0.750, 0.750)
Au (0.500, 0.500, 0.500)

Computed properties:
**ρ**: 10.99 Mg/m³
**Spin magnetization**: 0.000 μB/atom
**Space group**: Fm-3m (225)
**Relative energy among the computed polymorphs**: 0.081 eV/atom
**DFT formation energy**: -315.9 meV per atom


13.
Material: Pa2TiFeN5
Method: DFT, PBE
State: relaxed

Lattice parameters (Å, degrees): 6.597 6.597 10.039 90.00 90.00 151.66
Positions (direct):
Pa (0.105, 0.895, 0.500)
Pa (0.146, 0.854, 0.129)
Pa (0.854, 0.146, 0.629)
Pa (0.895, 0.105, 0.000)
Ti (0.196, 0.804, 0.829)
Ti (0.804, 0.196, 0.329)
Fe (0.469, 0.531, 0.278)
Fe (0.531, 0.469, 0.778)
N (0.052, 0.948, 0.889)
N (0.281, 0.719, 0.482)
N (0.323, 0.677, 0.195)
N (0.367, 0.633, 0.818)
N (0.488, 0.512, 0.598)
N (0.512, 0.488, 0.098)
N (0.633, 0.367, 0.318)
N (0.677, 0.323, 0.695)
N (0.719, 0.281, 0.982)
N (0.948, 0.052, 0.389)

Computed properties:
**ρ**: 10.18 Mg/m³
**Electronic total energy**: -9.820 eV per atom
**Spin magnetization**: 0.069 μB/atom
**Space group**: Cmc2_1 (36)


14.
Material: CsCa
Method: DFT, PBE
State: relaxed

Lattice parameters (Å, degrees): 4.265 4.265 15.928 90.00 90.00 120.00
Positions (direct):
Cs (0.333, 0.667, 0.000)
Cs (0.667, 0.333, 0.500)
Ca (0.333, 0.667, 0.740)
Ca (0.667, 0.333, 0.240)

Computed properties:
**ρ**: 2.29 Mg/m³
**Spin magnetization**: 0.004 μB/atom
**Space group**: P6_3mc (186)
**DFT formation energy**: 321.2 meV per atom


15.
Material: Pm7YIn4
Method: DFT, PBE
State: relaxed

Lattice parameters (Å, degrees): 7.898 7.898 10.731 121.06 121.06 42.96
Positions (direct):
Pm (0.000, 0.000, 0.000)
Pm (0.219, 0.219, 0.658)
Pm (0.293, 0.293, 0.120)
Pm (0.437, 0.437, 0.607)
Pm (0.563, 0.563, 0.393)
Pm (0.707, 0.707, 0.880)
Pm (0.781, 0.781, 0.342)
Y (0.500, 0.500, 0.000)
In (0.058, 0.058, 0.755)
In (0.181, 0.181, 0.333)
In (0.819, 0.819, 0.667)
In (0.942, 0.942, 0.245)

Computed properties:
**ρ**: 6.84 Mg/m³
**Spin magnetization**: 0.000 μB/atom
**Space group**: C2/m (12)
**DFT formation energy**: -133.8 meV per atom


16.
Material: PuPa2N4
Method: DFT, PBE
State: relaxed

Lattice parameters (Å, degrees): 7.028 7.028 7.028 60.00 60.00 60.00
Positions (direct):
Pu (0.125, 0.125, 0.125)
Pu (0.875, 0.875, 0.875)
Pa (0.000, 0.500, 0.500)
Pa (0.500, 0.000, 0.500)
Pa (0.500, 0.500, 0.000)
Pa (0.500, 0.500, 0.500)
N (0.268, 0.268, 0.268)
N (0.268, 0.268, 0.696)
N (0.268, 0.696, 0.268)
N (0.304, 0.732, 0.732)
N (0.696, 0.268, 0.268)
N (0.732, 0.304, 0.732)
N (0.732, 0.732, 0.304)
N (0.732, 0.732, 0.732)

Computed properties:
**ρ**: 10.31 Mg/m³
**Spin magnetization**: 0.860 μB/atom
**Space group**: Fd-3m (227)
**Relative energy among the computed polymorphs**: 0.034 eV/atom


17.
Material: Zn2FeOs
Method: DFT, PBE
State: relaxed

Lattice parameters (Å, degrees): 8.885 8.885 8.885 17.45 17.45 17.45
Positions (direct):
Zn (0.000, 0.000, 0.000)
Zn (0.243, 0.243, 0.243)
Fe (0.496, 0.496, 0.496)
Os (0.754, 0.754, 0.754)

Computed properties:
**ρ**: 11.37 Mg/m³
**Spin magnetization**: 0.486 μB/atom
**Space group**: R3m (160)
**Relative energy among the computed polymorphs**: 0.019 eV/atom
**DFT formation energy**: 80.6 meV per atom


18.
Material: LaTeN2O
Method: DFT, PBE
State: relaxed

Lattice parameters (Å, degrees): 4.662 4.662 4.275 90.00 90.00 90.00
Positions (direct):
La (0.000, 0.000, 0.000)
Te (0.500, 0.500, 0.500)
N (0.000, 0.500, 0.000)
N (0.500, 0.000, 0.000)
O (0.000, 0.000, 0.500)

Computed properties:
**ρ**: 5.55 Mg/m³
**Electronic total energy**: -5.281 eV per atom
**Spin magnetization**: 0.161 μB/atom
**Space group**: P4/mmm (123)


19.
Material: Er3MgSe6
Method: DFT, PBE
State: relaxed

Lattice parameters (Å, degrees): 8.679 8.679 6.988 90.00 90.00 100.04
Positions (direct):
Er (0.099, 0.901, 0.500)
Er (0.222, 0.421, 0.408)
Er (0.421, 0.222, 0.908)
Er (0.579, 0.778, 0.408)
Er (0.778, 0.579, 0.908)
Er (0.901, 0.099, 0.000)
Mg (0.295, 0.705, 0.883)
Mg (0.705, 0.295, 0.383)
Se (0.051, 0.598, 0.680)
Se (0.128, 0.201, 0.706)
Se (0.201, 0.128, 0.206)
Se (0.273, 0.727, 0.247)
Se (0.402, 0.949, 0.680)
Se (0.467, 0.533, 0.702)
Se (0.533, 0.467, 0.202)
Se (0.598, 0.051, 0.180)
Se (0.727, 0.273, 0.747)
Se (0.799, 0.872, 0.706)
Se (0.872, 0.799, 0.206)
Se (0.949, 0.402, 0.180)

Computed properties:
**ρ**: 6.41 Mg/m³
**Electronic total energy**: -5.167 eV per atom
**Spin magnetization**: 0.000 μB/atom
**Space group**: Cmc2_1 (36)


20.
Material: La2MgZr
Method: DFT, PBE
State: relaxed

Lattice parameters (Å, degrees): 3.409 5.362 6.787 90.00 104.39 90.00
Positions (direct):
La (0.000, 0.000, 0.000)
La (0.317, 0.500, 0.642)
Mg (0.599, 0.500, 0.199)
Zr (0.723, 0.000, 0.455)

Computed properties:
**ρ**: 5.43 Mg/m³
**Spin magnetization**: 0.000 μB/atom
**Space group**: Pm (6)
**DFT formation energy**: 91.0 meV per atom


21.
Material: Ca2DyCd12Ag3
Method: DFT, PBE
State: relaxed

Lattice parameters (Å, degrees): 8.792 8.792 8.792 61.02 61.02 61.02
Positions (direct):
Ca (0.082, 0.082, 0.082)
Ca (0.918, 0.918, 0.918)
Dy (0.500, 0.500, 0.500)
Cd (0.040, 0.677, 0.677)
Cd (0.254, 0.254, 0.674)
Cd (0.254, 0.674, 0.254)
Cd (0.323, 0.323, 0.960)
Cd (0.323, 0.960, 0.323)
Cd (0.326, 0.746, 0.746)
Cd (0.674, 0.254, 0.254)
Cd (0.677, 0.040, 0.677)
Cd (0.677, 0.677, 0.040)
Cd (0.746, 0.326, 0.746)
Cd (0.746, 0.746, 0.326)
Cd (0.960, 0.323, 0.323)
Ag (0.000, 0.500, 0.500)
Ag (0.500, 0.000, 0.500)
Ag (0.500, 0.500, 0.000)

Computed properties:
**ρ**: 6.47 Mg/m³
**Spin magnetization**: 0.000 μB/atom
**Space group**: R-3m (166)
**DFT formation energy**: 71.5 meV per atom